# FePdOF2 | Alexandria via LeMat-Bulk | GGA+U | optimized geometry
# Spin magnetization in μB/atom: 0.8000
# Total energy in eV per cell: -25.05
# Space-group type: P4/mmm
# ρ in g/cm³: 5.7
data_FePdOF2
_space_group_name_H-M_alt 'P 1'
_space_group_IT_number 1
_space_group_name_Hall 'P 1'
_cell_length_a 3.997
_cell_length_b 3.997
_cell_length_c 3.924
_cell_angle_alpha 90.00
_cell_angle_beta 90.00
_cell_angle_gamma 90.00
loop_
_atom_site_label
_atom_site_fract_x
_atom_site_fract_y
_atom_site_fract_z
Fe1 0.000 0.000 0.000
Pd1 0.500 0.500 0.500
O1 0.000 0.000 0.500
F1 0.000 0.500 0.000
F2 0.500 0.000 0.000